VASP calculation (PBE-GGA) on crystalline MgScTcSn at its relaxed geometry.

Cell lengths 10.0605, 3.6156, 4.6959 Å; angles 90.00, 116.63, 90.00 degrees
Space group Cm (No. 8)
Asymmetric unit:
Mg1 0.0000 0.0000 0.0000 [2 per cell]
Sc1 0.2657 0.5000 0.2945 [2 per cell]
Tc1 0.0052 0.5000 0.4906 [2 per cell]
Sn1 0.2409 0.0000 0.7734 [2 per cell]

## Properties
D(E_F)   1.88 states/eV/f.u.
E   -5.69 eV per atom

VASP calculation (PBE-GGA) on crystalline CaAcGa at its relaxed geometry.

Cell lengths 3.8182, 3.8182, 13.7424 Å; angles 90.00, 90.00, 90.00 degrees
Space group I4mm (No. 107)
Asymmetric unit:
Ca1 0.0000 0.0000 0.0000 [2 per cell]
Ac1 0.0000 0.0000 0.2694 [2 per cell]
Ga1 0.0000 0.0000 0.6261 [2 per cell]

## Properties
D(E_F)   3.91 states/eV/f.u.
E   -3.32 eV per atom

VASP calculation (PBE-GGA) on crystalline Pr3MgBe2Pd9 at its relaxed geometry.

Cell lengths 6.7433, 6.7433, 7.1605 Å; angles 90.00, 90.00, 120.00 degrees
Space group P-3m1 (No. 164)
Asymmetric unit:
Pr1 0.0000 0.0000 0.0000 [1 per cell]
Pr2 0.3333 0.6667 0.6705 [2 per cell]
Mg1 0.0000 0.0000 0.5000 [1 per cell]
Be1 0.3333 0.6667 0.1377 [2 per cell]
Pd1 0.0000 0.5000 0.0000 [3 per cell]
Pd2 0.1853 0.3706 0.3255 [6 per cell]

## Properties
D(E_F)   5.47 states/eV/f.u.
E   -5.25 eV per atom

VASP calculation (PBE-GGA) on crystalline Rb3Ge2H6 at its relaxed geometry.

Cell lengths 6.3300, 6.4749, 13.1407 Å; angles 90.00, 102.29, 90.00 degrees
Space group C2/m (No. 12)
Asymmetric unit:
Rb1 0.0000 0.0000 0.0000 [2 per cell]
Rb2 0.1790 0.0000 0.3399 [4 per cell]
Ge1 0.0900 0.5000 0.1561 [4 per cell]
H1 0.0845 0.3205 0.8342 [8 per cell]
H2 0.1809 0.5000 0.2818 [4 per cell]

## Properties
D(E_F)   1.86 states/eV/f.u.
E   -3.04 eV per atom

VASP calculation (PBE-GGA) on crystalline P5Pb12Au3 at its relaxed geometry.

Cell lengths 16.9500, 16.9500, 16.9500 Å; angles 90.00, 90.00, 90.00 degrees
Space group Ia-3d (No. 230)
Asymmetric unit:
P1 0.0000 0.0000 0.0000 [16 per cell]
P2 0.0000 0.2500 0.3750 [24 per cell]
Pb1 0.0207 0.0727 0.6535 [96 per cell]
Au1 0.0000 0.2500 0.1250 [24 per cell]

## Properties
D(E_F)   8.01 states/eV/f.u.
E   -3.93 eV per atom

VASP calculation (PBE-GGA) on crystalline BaSi2Au at its relaxed geometry.

Cell lengths 7.4091, 4.2172, 6.5642 Å; angles 90.00, 111.49, 90.00 degrees
Space group C2/m (No. 12)
Asymmetric unit:
Ba1 0.0000 0.0000 0.0000 [2 per cell]
Si1 0.2136 0.0000 0.6353 [4 per cell]
Au1 0.0000 0.5000 0.5000 [2 per cell]

## Properties
Formation energy from raw total energies   -0.33 eV/atom
D(E_F)   1.49 states/eV/f.u.
E   -4.34 eV per atom

VASP calculation (PBE-GGA) on crystalline La2NdTm at its relaxed geometry.

Cell lengths 3.7074, 3.7074, 10.1311 Å; angles 90.00, 90.00, 90.00 degrees
Space group P4/mmm (No. 123)
Asymmetric unit:
La1 0.0000 0.0000 0.2434 [2 per cell]
Nd1 0.5000 0.5000 0.5000 [1 per cell]
Tm1 0.5000 0.5000 0.0000 [1 per cell]

## Properties
D(E_F)   7.12 states/eV/f.u.
E   -4.75 eV per atom

VASP calculation (PBE-GGA) on crystalline TlNiSe2 at its relaxed geometry.

Cell lengths 3.7792, 3.7792, 14.8672 Å; angles 90.00, 90.00, 90.00 degrees
Space group I-4m2 (No. 119)
Asymmetric unit:
Tl1 0.0000 0.0000 0.0000 [2 per cell]
Ni1 0.0000 0.5000 0.7500 [2 per cell]
Se1 0.0000 0.0000 0.5000 [2 per cell]
Se2 0.0000 0.5000 0.2500 [2 per cell]

## Properties
Formation energy from raw total energies   0.34 eV/atom
D(E_F)   2.88 states/eV/f.u.
E   -3.44 eV per atom

VASP calculation (PBE-GGA) on crystalline K3HgF7 at its relaxed geometry.

Cell lengths 8.8875, 8.4599, 6.9125 Å; angles 90.00, 121.98, 90.00 degrees
Space group Cm (No. 8)
Asymmetric unit:
K1 0.0000 0.0000 0.0000 [2 per cell]
K2 0.0038 0.2749 0.5183 [4 per cell]
Hg1 0.4979 0.0000 0.0157 [2 per cell]
F1 0.1392 0.3052 0.2388 [4 per cell]
F2 0.1571 0.5000 0.8584 [2 per cell]
F3 0.3495 0.0000 0.1874 [2 per cell]
F4 0.3521 0.1851 0.7786 [4 per cell]
F5 0.4743 0.5000 0.6197 [2 per cell]

## Properties
Formation energy from raw total energies   -1.97 eV/atom
D(E_F)   5.99 states/eV/f.u.
E   -3.48 eV per atom

VASP calculation (PBE-GGA) on crystalline Sr2AgPb at its relaxed geometry.

Cell lengths 4.7439, 4.7439, 6.7741 Å; angles 90.00, 90.00, 90.00 degrees
Space group P4mm (No. 99)
Asymmetric unit:
Sr1 0.0000 0.0000 0.0000 [1 per cell]
Sr2 0.5000 0.5000 0.4568 [1 per cell]
Ag1 0.0000 0.0000 0.5021 [1 per cell]
Pb1 0.5000 0.5000 0.9525 [1 per cell]

## Properties
D(E_F)   3.38 states/eV/f.u.
E   -2.71 eV per atom

VASP calculation (PBE-GGA) on crystalline DyScCuAg at its relaxed geometry.

Cell lengths 3.4337, 3.4337, 6.9781 Å; angles 90.00, 90.00, 90.00 degrees
Space group P4mm (No. 99)
Asymmetric unit:
Dy1 0.0000 0.0000 0.0000 [1 per cell]
Sc1 0.0000 0.0000 0.4707 [1 per cell]
Cu1 0.5000 0.5000 0.2609 [1 per cell]
Ag1 0.5000 0.5000 0.7117 [1 per cell]

## Properties
D(E_F)   2.83 states/eV/f.u.
E   -4.74 eV per atom

VASP calculation (PBE-GGA) on crystalline Li2TiInO at its relaxed geometry.

Cell lengths 4.2282, 4.2282, 3.9679 Å; angles 90.00, 90.00, 90.00 degrees
Space group P4/mmm (No. 123)
Asymmetric unit:
Li1 0.0000 0.5000 0.0000 [2 per cell]
Ti1 0.0000 0.0000 0.5000 [1 per cell]
In1 0.5000 0.5000 0.5000 [1 per cell]
O1 0.0000 0.0000 0.0000 [1 per cell]

## Properties
Formation energy from raw total energies   -1.10 eV/atom
D(E_F)   2.11 states/eV/f.u.
E   -4.98 eV per atom

Question: The highest D(E_F) belongs to which entry?
Answer: P5Pb12Au3